NiOsS2 after structural relaxation. Source: the Alexandria database, functional PBE.

Lattice parameters (Å, degrees): 6.346 6.346 6.346 132.61 132.61 69.27
Positions (direct):
Ni 0.000 0.000 0.000
Ni 0.750 0.250 0.500
Os 0.250 0.750 0.500
Os 0.500 0.500 0.000
S 0.117 0.625 0.992
S 0.375 0.367 0.492
S 0.633 0.125 0.008
S 0.875 0.883 0.508

Raw formation energy   -0.08 eV/atom



EuLu3Mn after structural relaxation. Source: the Alexandria database, functional PBE.

Lattice parameters (Å, degrees): 5.253 5.253 5.253 90.00 90.00 90.00
Positions (direct):
Eu 0.000 0.000 0.000
Lu 0.000 0.500 0.500
Lu 0.500 0.000 0.500
Lu 0.500 0.500 0.000
Mn 0.500 0.500 0.500

Formation energy from the elements   0.148 eV/atom



Ca2ReTcO6 after structural relaxation. Source: the Alexandria database, functional PBE.

Lattice parameters (Å, degrees): 5.562 5.562 4.035 90.00 90.00 90.00
Positions (direct):
Ca 0.000 0.500 0.000
Ca 0.500 0.000 0.000
Re 0.000 0.000 0.566
Tc 0.500 0.500 0.567
O 0.000 0.000 0.070
O 0.248 0.248 0.580
O 0.248 0.752 0.580
O 0.500 0.500 0.070
O 0.752 0.248 0.580
O 0.752 0.752 0.580

Raw formation energy   -1.94 eV/atom



E, record by record: -6.3928 -6.4530 -7.5918 eV/atom